CrWCl2 | GGA-PBE | relaxed

Calculated values
raw formation energy	4.1	eV/f.u.
calculated volume	64	Å³/cell
offset from the most stable computed form	1197	meV per atom
crystal system	orthorhombic
spin magnetization	3.0	μB per formula unit

Cell lengths 2.944, 3.665, 5.966 Å; angles 90.00, 90.00, 90.00 degrees
Each line ends with the local moment (μB).
Atoms (fractional coordinates):
Cl  0.000  0.000  0.994  -0.01
Cl  0.000  0.000  0.506  -0.01
W  0.500  0.500  0.750  -0.73
Cr  0.500  0.500  0.250  3.55